Material: TbNd2Cu
Method: DFT, PBE
State: optimized geometry

Energy relative to the lowest polymorph listed for this composition (kJ/mol of atoms): 0.0
DOS at the Fermi energy (states/eV/cell): 6.3
Electronic total energy (eV for the cell shown): -18.4
ρ (Mg/m³): 7.43
Energy relative to the elements (eV/atom): -0.041

a b c (Å): 3.626 3.626 8.689
angles (deg): 90.00 90.00 90.00
Sites, in units of the cell vectors:
Tb (0.000, 0.000, 0.000)
Nd (0.500, 0.500, 0.298)
Nd (0.500, 0.500, 0.702)
Cu (0.000, 0.000, 0.500)